# Ga2CuNF

A relaxed structure of Ga2CuNF (GGA-PBE, the Alexandria database).

- Fermi-level density of states: 4.49 states/eV/cell
- SG: No. 123

Unit cell a=4.7386 b=3.7241 c=4.7386 alpha=90.00 beta=90.00 gamma=90.00
With the nearest neighbours (Å) after each atom.
Sites, in units of the cell vectors:
N 0.5000 0.5000 0.5000  8 Ga 3.01, 4 F 3.35
F 0.0000 0.5000 0.0000  2 Cu 1.86
Ga 0.5000 0.0000 0.0000  2 Cu 2.37
Cu 0.0000 0.0000 0.0000  2 F 1.86
Ga 0.0000 0.0000 0.5000  2 Cu 2.37



# GaCuNF2

A relaxed structure of GaCuNF2 (GGA-PBE, the Alexandria database).

- Fermi-level density of states: 2.20 states/eV/cell
- SG: No. 123
- Energy above the most stable polymorph in this dataset: 0.0 meV per atom

Unit cell a=3.8428 b=3.8428 c=3.9842 alpha=90.00 beta=90.00 gamma=90.00
With the nearest neighbours (Å) after each atom.
Sites, in units of the cell vectors:
N 0.0000 0.0000 0.5000  2 Ga 1.99
Ga 0.0000 0.0000 0.0000  4 F 1.92, 2 N 1.99
Cu 0.5000 0.5000 0.5000  4 N 2.72, 8 F 2.77
F 0.0000 0.5000 0.0000  2 Ga 1.92
F 0.5000 0.0000 0.0000  2 Ga 1.92



# Na2GaCuF6

A relaxed structure of Na2GaCuF6 (GGA-PBE, the Alexandria database).

- SG: No. 1
- Energy above the most stable polymorph in this dataset: 0.0 meV per atom

Unit cell a=5.5689 b=5.5666 c=6.1606 alpha=58.71 beta=58.01 gamma=63.40
With the nearest neighbours (Å) after each atom.
Sites, in units of the cell vectors:
F 0.5386 0.2274 0.2344  1 Ga 1.89
Na 0.5296 0.5326 0.3851  4 F 2.24-2.37
F 0.4628 0.6873 0.7651  1 Cu 1.95, 1 Ga 2.00
F 0.1746 0.9651 0.2783  1 Cu 1.98, 1 Ga 1.99
F 0.9909 0.5494 0.2276  1 Ga 1.89
F 0.6561 0.1188 0.8083  1 Ga 1.92
F 0.1362 0.4219 0.7995  1 Ga 1.93
Ga 0.3235 0.3231 0.0337  6 F 1.89-2.00
Cu 0.8211 0.8177 0.5657  2 F 1.95-1.98
Na 0.0282 0.0182 0.9175  4 F 2.23-2.35



# NaGaCu2F8

A relaxed structure of NaGaCu2F8 (GGA-PBE, the Alexandria database).

- SG: No. 1

Unit cell a=5.4533 b=5.1641 c=5.9798 alpha=108.35 beta=111.90 gamma=80.14
With the nearest neighbours (Å) after each atom.
Sites, in units of the cell vectors:
F 0.7151 0.1671 0.8606  1 Cu 1.96, 1 Ga 1.96
F 0.3725 0.9473 0.3199  1 Ga 1.96, 1 Cu 2.04
Ga 0.0772 0.0602 0.0519  6 F 1.96-2.08
F 0.8908 0.8804 0.2064  1 Cu 1.91, 1 Ga 2.08
F 0.4830 0.5869 0.6657  2 Cu 1.92
F 0.3885 0.3427 0.1625  1 Cu 1.90
Na 0.7404 0.2396 0.4888  7 F 2.30-2.43
Cu 0.4201 0.4344 0.8916  4 F 1.90-1.96
F 0.0961 0.6658 0.8645  1 Cu 1.94, 1 Ga 2.00
F 0.0028 0.3807 0.3177  1 Cu 1.97, 1 Ga 2.01
F 0.1277 0.0757 0.7457  1 Ga 1.98
Cu 0.1859 0.7192 0.4247  4 F 1.91-2.04



# Na2GaCuF6

A relaxed structure of Na2GaCuF6 (GGA-PBE, the Alexandria database).

- Fermi-level density of states: 3.88 states/eV/cell
- SG: No. 225
- Energy above the most stable polymorph in this dataset: 75.8 meV per atom

Unit cell a=5.7668 b=5.7668 c=5.7668 alpha=60.00 beta=60.00 gamma=60.00
With the nearest neighbours (Å) after each atom.
Sites, in units of the cell vectors:
Na 0.2500 0.2500 0.2500  12 F 2.89
F 0.2359 0.2359 0.7641  1 Ga 1.92, 1 Cu 2.15
F 0.2359 0.7641 0.2359  1 Ga 1.92, 1 Cu 2.15
F 0.7641 0.7641 0.2359  1 Ga 1.92, 1 Cu 2.15
Cu 0.5000 0.5000 0.5000  6 F 2.15
F 0.7641 0.2359 0.7641  1 Ga 1.92, 1 Cu 2.15
Na 0.7500 0.7500 0.7500  12 F 2.89
F 0.7641 0.2359 0.2359  1 Ga 1.92, 1 Cu 2.15
Ga 0.0000 0.0000 0.0000  6 F 1.92
F 0.2359 0.7641 0.7641  1 Ga 1.92, 1 Cu 2.15



# NbGaCuF2

A relaxed structure of NbGaCuF2 (GGA-PBE, the Alexandria database).

- Fermi-level density of states: 4.10 states/eV/cell
- SG: No. 123

Unit cell a=3.8343 b=5.4638 c=3.8343 alpha=90.00 beta=90.00 gamma=90.00
With the nearest neighbours (Å) after each atom.
Sites, in units of the cell vectors:
Nb 0.5000 0.5000 0.5000  4 Cu 2.71
Ga 0.0000 0.0000 0.0000  4 F 1.92
Cu 0.0000 0.5000 0.0000  4 Nb 2.71, 2 Ga 2.73
F 0.5000 0.0000 0.0000  2 Ga 1.92
F 0.0000 0.0000 0.5000  2 Ga 1.92



Spin magnetization? In order: 0.098 0.430 0.057 2.002 0.097 2.058 μB per formula unit.
Electronic total energy? In order: -3.4414 -4.3942 -4.4571 -4.3323 -4.3813 -4.5784 eV/atom.
Energy relative to the elements, uncorrected? In order: 0.628 -0.556 -2.358 -2.040 -2.282 -0.391 eV per atom.